(w)
# BaP4O11

A relaxed structure of BaP4O11 (PBE, Alexandria via LeMat-Bulk).

DOS at the Fermi energy	0.000	states/eV per cell
size of the total moment	0.006	μB/atom

Cell lengths 9.446, 13.211, 13.136 Å; angles 90.00, 133.62, 90.00 degrees
Element x y z (fractional)
Ba  0.039  0.025  0.269
Ba  0.039  0.475  0.769
Ba  0.961  0.525  0.231
Ba  0.961  0.975  0.731
P  0.331  0.207  0.915
P  0.331  0.293  0.415
P  0.386  0.664  0.614
P  0.386  0.836  0.114
P  0.391  0.667  0.276
P  0.391  0.833  0.776
P  0.495  0.000  0.690
P  0.495  0.500  0.190
P  0.505  0.000  0.310
P  0.505  0.500  0.810
P  0.609  0.167  0.224
P  0.609  0.333  0.724
P  0.614  0.164  0.886
P  0.614  0.336  0.386
P  0.669  0.707  0.585
P  0.669  0.793  0.085
O  0.188  0.209  0.340
O  0.188  0.291  0.840
O  0.213  0.613  0.487
O  0.213  0.887  0.987
O  0.222  0.618  0.238
O  0.222  0.882  0.738
O  0.273  0.099  0.887
O  0.273  0.401  0.387
O  0.303  0.518  0.044
O  0.303  0.982  0.544
O  0.319  0.519  0.773
O  0.319  0.981  0.273
O  0.320  0.749  0.661
O  0.320  0.751  0.161
O  0.458  0.094  0.753
O  0.458  0.406  0.253
O  0.461  0.096  0.210
O  0.461  0.404  0.710
O  0.473  0.232  0.085
O  0.473  0.268  0.585
O  0.489  0.229  0.901
O  0.489  0.271  0.401
O  0.511  0.729  0.599
O  0.511  0.771  0.099
O  0.527  0.732  0.415
O  0.527  0.768  0.915
O  0.539  0.596  0.290
O  0.539  0.904  0.790
O  0.542  0.594  0.747
O  0.542  0.906  0.247
O  0.680  0.249  0.839
O  0.680  0.251  0.339
O  0.681  0.019  0.727
O  0.681  0.481  0.227
O  0.697  0.018  0.456
O  0.697  0.482  0.956
O  0.727  0.599  0.613
O  0.727  0.901  0.113
O  0.778  0.118  0.262
O  0.778  0.382  0.762
O  0.787  0.113  0.013
O  0.787  0.387  0.513
O  0.812  0.709  0.160
O  0.812  0.791  0.660

(x)
# BaP4O11

A relaxed structure of BaP4O11 (PBE, Alexandria via LeMat-Bulk).

DOS at the Fermi energy	0.000	states/eV per cell
size of the total moment	0.003	μB/atom

Cell lengths 10.384, 10.432, 12.036 Å; angles 70.28, 69.38, 86.58 degrees
Element x y z (fractional)
Ba  0.243  0.262  0.477
Ba  0.253  0.740  0.995
Ba  0.747  0.260  0.005
Ba  0.757  0.738  0.523
P  0.060  0.908  0.755
P  0.100  0.434  0.744
P  0.106  0.723  0.600
P  0.233  0.083  0.080
P  0.276  0.382  0.906
P  0.390  0.068  0.250
P  0.407  0.783  0.422
P  0.430  0.625  0.247
P  0.570  0.375  0.753
P  0.593  0.217  0.578
P  0.610  0.932  0.750
P  0.724  0.618  0.094
P  0.767  0.917  0.920
P  0.894  0.277  0.400
P  0.900  0.566  0.256
P  0.940  0.092  0.245
O  0.025  0.690  0.533
O  0.035  0.828  0.667
O  0.052  0.596  0.206
O  0.085  0.807  0.866
O  0.098  0.043  0.201
O  0.136  0.599  0.706
O  0.146  0.379  0.868
O  0.151  0.033  0.671
O  0.196  0.389  0.642
O  0.241  0.018  0.988
O  0.245  0.247  0.029
O  0.255  0.797  0.511
O  0.265  0.091  0.347
O  0.296  0.501  0.939
O  0.352  0.046  0.135
O  0.386  0.733  0.152
O  0.388  0.478  0.287
O  0.391  0.660  0.379
O  0.399  0.353  0.797
O  0.438  0.912  0.301
O  0.484  0.838  0.809
O  0.493  0.235  0.514
O  0.507  0.765  0.486
O  0.516  0.162  0.191
O  0.562  0.088  0.699
O  0.601  0.647  0.203
O  0.609  0.340  0.621
O  0.612  0.522  0.713
O  0.614  0.267  0.848
O  0.648  0.954  0.865
O  0.704  0.499  0.061
O  0.735  0.909  0.653
O  0.745  0.203  0.489
O  0.755  0.753  0.971
O  0.759  0.982  0.012
O  0.804  0.611  0.358
O  0.849  0.967  0.329
O  0.854  0.621  0.132
O  0.864  0.401  0.294
O  0.902  0.957  0.799
O  0.915  0.193  0.134
O  0.948  0.404  0.794
O  0.965  0.172  0.333
O  0.975  0.310  0.467

Which of them is most stable, and which least? Most stable: (w); least stable: (x).

(w)
# Ba5P3O13

A relaxed structure of Ba5P3O13 (PBE, Alexandria via LeMat-Bulk).

DOS at the Fermi energy	13.132	states/eV per cell
size of the total moment	0.048	μB/atom

Cell lengths 10.249, 10.249, 7.709 Å; angles 90.00, 90.00, 120.00 degrees
Element x y z (fractional)
Ba  0.014  0.240  0.250
Ba  0.227  0.986  0.250
Ba  0.240  0.227  0.750
Ba  0.333  0.667  0.502
Ba  0.333  0.667  0.998
Ba  0.667  0.333  0.002
Ba  0.667  0.333  0.498
Ba  0.760  0.773  0.250
Ba  0.773  0.014  0.750
Ba  0.986  0.760  0.750
P  0.029  0.402  0.750
P  0.373  0.971  0.750
P  0.402  0.373  0.250
P  0.598  0.627  0.750
P  0.627  0.029  0.250
P  0.971  0.598  0.250
O  0.000  0.000  0.000
O  0.000  0.000  0.500
O  0.080  0.349  0.587
O  0.080  0.349  0.913
O  0.108  0.577  0.750
O  0.146  0.670  0.250
O  0.269  0.920  0.587
O  0.269  0.920  0.913
O  0.330  0.476  0.250
O  0.349  0.269  0.087
O  0.349  0.269  0.413
O  0.423  0.531  0.750
O  0.469  0.892  0.750
O  0.476  0.146  0.750
O  0.524  0.854  0.250
O  0.531  0.108  0.250
O  0.577  0.469  0.250
O  0.651  0.731  0.587
O  0.651  0.731  0.913
O  0.670  0.524  0.750
O  0.731  0.080  0.087
O  0.731  0.080  0.413
O  0.854  0.330  0.750
O  0.892  0.423  0.250
O  0.920  0.651  0.087
O  0.920  0.651  0.413

(x)
# Ba5P3O13

A relaxed structure of Ba5P3O13 (PBE, Alexandria via LeMat-Bulk).

DOS at the Fermi energy	3.890	states/eV per cell
size of the total moment	0.057	μB/atom

Cell lengths 10.386, 10.386, 7.818 Å; angles 90.00, 90.00, 120.00 degrees
Element x y z (fractional)
Ba  0.017  0.753  0.000
Ba  0.247  0.263  0.000
Ba  0.263  0.017  0.500
Ba  0.333  0.667  0.250
Ba  0.333  0.667  0.750
Ba  0.667  0.333  0.250
Ba  0.667  0.333  0.750
Ba  0.737  0.983  0.000
Ba  0.753  0.737  0.500
Ba  0.983  0.247  0.500
P  0.034  0.633  0.500
P  0.367  0.401  0.500
P  0.401  0.034  0.000
P  0.599  0.966  0.500
P  0.633  0.599  0.000
P  0.966  0.367  0.000
O  0.000  0.000  0.498
O  0.000  0.000  0.998
O  0.082  0.734  0.338
O  0.082  0.734  0.662
O  0.120  0.545  0.500
O  0.137  0.478  0.000
O  0.266  0.348  0.338
O  0.266  0.348  0.662
O  0.341  0.863  0.000
O  0.348  0.082  0.162
O  0.348  0.082  0.838
O  0.425  0.880  0.500
O  0.455  0.575  0.500
O  0.478  0.341  0.500
O  0.522  0.659  0.000
O  0.545  0.425  0.000
O  0.575  0.120  0.000
O  0.652  0.918  0.338
O  0.652  0.918  0.662
O  0.659  0.137  0.500
O  0.734  0.652  0.162
O  0.734  0.652  0.838
O  0.863  0.522  0.500
O  0.880  0.455  0.000
O  0.918  0.266  0.162
O  0.918  0.266  0.838

Which of them is most stable, and which least? Most stable: (x); least stable: (w).

(w)
# Ba2PO

A relaxed structure of Ba2PO (PBE, Alexandria via LeMat-Bulk).

DOS at the Fermi energy	4.709	states/eV per cell
size of the total moment	0.258	μB/atom

Cell lengths 8.592, 8.592, 8.592 Å; angles 33.16, 33.16, 33.16 degrees
Element x y z (fractional)
Ba  0.094  0.094  0.094
Ba  0.906  0.906  0.906
P  0.500  0.500  0.500
O  0.000  0.000  0.000

(x)
# Ba2PO

A relaxed structure of Ba2PO (PBE, Alexandria via LeMat-Bulk).

DOS at the Fermi energy	5.945	states/eV per cell
size of the total moment	0.250	μB/atom

Cell lengths 5.298, 5.298, 5.298 Å; angles 60.00, 60.00, 60.00 degrees
Element x y z (fractional)
Ba  0.250  0.250  0.250
Ba  0.750  0.750  0.750
P  0.000  0.000  0.000
O  0.500  0.500  0.500

Which of them is most stable, and which least? Most stable: (w); least stable: (x).

(w)
# BaP2PdO

A relaxed structure of BaP2PdO (PBE, Alexandria via LeMat-Bulk).

DOS at the Fermi energy	3.601	states/eV per cell
size of the total moment	0.500	μB/atom

Cell lengths 5.840, 5.840, 4.347 Å; angles 90.00, 90.00, 90.00 degrees
Element x y z (fractional)
Ba  0.000  0.000  0.000
P  0.000  0.500  0.000
P  0.500  0.000  0.000
Pd  0.500  0.500  0.500
O  0.000  0.000  0.500

(x)
# BaP2PdO

A relaxed structure of BaP2PdO (PBE, Alexandria via LeMat-Bulk).

DOS at the Fermi energy	5.150	states/eV per cell
size of the total moment	0.000	μB/atom

Cell lengths 4.586, 4.586, 4.980 Å; angles 90.00, 90.00, 90.00 degrees
Element x y z (fractional)
Ba  0.000  0.000  0.000
P  0.000  0.500  0.500
P  0.500  0.000  0.500
Pd  0.500  0.500  0.500
O  0.500  0.500  0.000

Which of them is most stable, and which least? Most stable: (x); least stable: (w).